1.
The following is a PBE calculation of a relaxed SrBi3Se crystal, from the Alexandria database.

* raw formation energy: -0.06 eV/atom
* crystal system: cubic

a = 5.6675 Å, b = 5.6675 Å, c = 5.6675 Å
α = 90.00°, β = 90.00°, γ = 90.00°
Closest atoms and distances in Å follow each position.
Space group Pm-3m (No. 221)
One atom of each set of equivalent atoms:
Sr  0.0000  0.0000  0.0000 (multiplicity 1)  12 Bi 4.01
Bi  0.0000  0.5000  0.5000 (multiplicity 3)  2 Se 2.83
Se  0.5000  0.5000  0.5000 (multiplicity 1)  6 Bi 2.83


2.
The following is a PBE calculation of a relaxed TbDy5Tm crystal, from the Alexandria database.

* crystal system: orthorhombic
* formation energy: 1.104 eV per atom

a = 5.7386 Å, b = 8.5763 Å, c = 11.9009 Å
α = 90.00°, β = 90.00°, γ = 90.00°
Closest atoms and distances in Å follow each position.
Space group Immm (No. 71)
One atom of each set of equivalent atoms:
Tb  0.0000  0.0000  0.0000 (multiplicity 2)  6 Dy 2.77-2.92
Dy  0.0000  0.0000  0.2452 (multiplicity 4)  1 Tb 2.92, 1 Tm 3.03
Dy  0.0000  0.3224  0.0000 (multiplicity 4)  1 Tb 2.77, 1 Dy 3.05
Dy  0.0000  0.5000  0.5000 (multiplicity 2)  2 Tb 2.87
Tm  0.0000  0.0000  0.5000 (multiplicity 2)  6 Dy 3.03-3.25


3.
The following is a PBE calculation of a relaxed Tm3Ga2Os crystal, from the Alexandria database.

* crystal system: orthorhombic
* formation energy: -0.479 eV per atom

a = 11.7713 Å, b = 4.2540 Å, c = 10.9171 Å
α = 90.00°, β = 90.00°, γ = 90.00°
Closest atoms and distances in Å follow each position.
Space group Pnma (No. 62)
One atom of each set of equivalent atoms:
Tm  0.0518  0.2500  0.1194 (multiplicity 4)  1 Os 2.85, 5 Ga 2.98-3.15
Tm  0.1192  0.7500  0.5553 (multiplicity 4)  3 Os 2.92-2.93, 5 Ga 3.01-3.13
Tm  0.2344  0.2500  0.7941 (multiplicity 4)  2 Os 2.86, 4 Ga 3.03-3.10
Ga  0.0061  0.7500  0.3036 (multiplicity 4)  2 Os 2.61
Ga  0.1935  0.7500  0.9963 (multiplicity 4)  1 Os 2.60
Os  0.1191  0.2500  0.3706 (multiplicity 4)  3 Ga 2.60-2.61, 3 Tm 2.85-2.86


4.
The following is a PBE calculation of a relaxed KNaMo3 crystal, from the Alexandria database.

* crystal system: cubic
* formation energy: 2.944 eV per atom

a = 4.9015 Å, b = 4.9015 Å, c = 4.9015 Å
α = 90.00°, β = 90.00°, γ = 90.00°
Closest atoms and distances in Å follow each position.
Space group Pm-3m (No. 221)
One atom of each set of equivalent atoms:
K  0.0000  0.0000  0.0000 (multiplicity 1)  12 Mo 3.47
Na  0.5000  0.5000  0.5000 (multiplicity 1)  6 Mo 2.45
Mo  0.0000  0.5000  0.5000 (multiplicity 3)  2 Na 2.45


5.
The following is a PBE calculation of a relaxed ScOsI2 crystal, from the Alexandria database.

* raw formation energy: 0.66 eV/atom
* crystal system: cubic

a = 7.0218 Å, b = 7.0218 Å, c = 7.0218 Å
α = 90.00°, β = 90.00°, γ = 90.00°
Closest atoms and distances in Å follow each position.
Space group Fm-3m (No. 225)
One atom of each set of equivalent atoms:
Sc  0.0000  0.0000  0.0000 (multiplicity 4)  8 I 3.04
Os  0.0000  0.0000  0.5000 (multiplicity 4)  8 I 3.04
I  0.2500  0.2500  0.2500 (multiplicity 8)  4 Os 3.04, 4 Sc 3.04


6.
The following is a PBE calculation of a relaxed K2FeB crystal, from the Alexandria database.

* crystal system: tetragonal
* formation energy: 0.764 eV per atom

a = 12.0802 Å, b = 12.0802 Å, c = 3.9203 Å
α = 90.00°, β = 90.00°, γ = 90.00°
Closest atoms and distances in Å follow each position.
Space group I-42d (No. 122)
One atom of each set of equivalent atoms:
K  0.0466  0.2500  0.1250 (multiplicity 8)  2 B 3.11, 2 Fe 3.41
Fe  0.0000  0.0000  0.5000 (multiplicity 4)  2 B 1.96
B  0.0000  0.0000  0.0000 (multiplicity 4)  2 Fe 1.96


7.
The following is a PBE calculation of a relaxed Ac2Ni4AgSb3 crystal, from the Alexandria database.

* raw formation energy: -0.58 eV/atom
* crystal system: tetragonal

a = 4.5360 Å, b = 4.5360 Å, c = 10.2112 Å
α = 90.00°, β = 90.00°, γ = 90.00°
Closest atoms and distances in Å follow each position.
Space group P-4m2 (No. 115)
One atom of each set of equivalent atoms:
Ac  0.0000  0.5000  0.2429 (multiplicity 2)  8 Ni 3.36-3.48, 7 Sb 3.43-3.76, 2 Ag 3.47
Ni  0.0000  0.0000  0.0000 (multiplicity 1)  4 Sb 2.60
Ni  0.0000  0.5000  0.6254 (multiplicity 2)  3 Sb 2.55-2.60, 2 Ag 2.60
Ni  0.5000  0.5000  0.0000 (multiplicity 1)  4 Sb 2.60
Ag  0.0000  0.0000  0.5000 (multiplicity 1)  4 Ni 2.60
Sb  0.0000  0.5000  0.8749 (multiplicity 2)  5 Ni 2.55-2.60
Sb  0.5000  0.5000  0.5000 (multiplicity 1)  4 Ni 2.60


8.
The following is a PBE calculation of a relaxed Ba2InHg5 crystal, from the Alexandria database.

* crystal system: orthorhombic
* formation energy: -0.385 eV per atom

a = 5.2638 Å, b = 18.6724 Å, c = 10.3560 Å
α = 90.00°, β = 90.00°, γ = 90.00°
Closest atoms and distances in Å follow each position.
Space group Cmcm (No. 63)
One atom of each set of equivalent atoms:
Ba  0.0000  0.0000  0.0000 (multiplicity 4)  10 Hg 3.65-4.08, 4 In 3.86
Ba  0.0000  0.2094  0.2500 (multiplicity 4)  13 Hg 3.60-3.89, 2 In 3.84
In  0.0000  0.4400  0.7500 (multiplicity 4)  3 Hg 2.85-2.87
Hg  0.0000  0.1871  0.6031 (multiplicity 8)  4 Hg 3.03-3.20
Hg  0.0000  0.3527  0.5224 (multiplicity 8)  1 In 2.87, 4 Hg 3.00-3.20
Hg  0.0000  0.4075  0.2500 (multiplicity 4)  1 In 2.85, 2 Hg 3.00


9.
The following is a PBE calculation of a relaxed NdInTe crystal, from the Alexandria database.

* raw formation energy: -0.81 eV/atom
* crystal system: trigonal

a = 5.2712 Å, b = 5.2712 Å, c = 24.7251 Å
α = 90.00°, β = 90.00°, γ = 120.00°
Closest atoms and distances in Å follow each position.
Space group R-3m (No. 166, hexagonal axes)
One atom of each set of equivalent atoms:
Nd  0.0000  0.0000  0.0804 (multiplicity 6)  4 Te 3.17-3.37, 3 In 3.50
In  0.0000  0.0000  0.3436 (multiplicity 6)  3 In 3.09, 1 Te 3.13
Te  0.0000  0.0000  0.2168 (multiplicity 6)  1 In 3.13, 4 Nd 3.17-3.37


10.
The following is a PBE calculation of a relaxed Sr2CaTl crystal, from the Alexandria database.

* crystal system: cubic
* formation energy: -0.148 eV per atom

a = 8.5329 Å, b = 8.5329 Å, c = 8.5329 Å
α = 90.00°, β = 90.00°, γ = 90.00°
Closest atoms and distances in Å follow each position.
Space group Fm-3m (No. 225)
One atom of each set of equivalent atoms:
Sr  0.2500  0.2500  0.2500 (multiplicity 8)  4 Tl 3.69, 4 Ca 3.69
Ca  0.0000  0.0000  0.0000 (multiplicity 4)  8 Sr 3.69
Tl  0.0000  0.0000  0.5000 (multiplicity 4)  8 Sr 3.69


11.
The following is a PBE calculation of a relaxed Ga4Bi3As crystal, from the Alexandria database.

* crystal system: trigonal
* formation energy: -0.018 eV per atom

a = 4.4536 Å, b = 4.4536 Å, c = 43.4944 Å
α = 90.00°, β = 90.00°, γ = 120.00°
Closest atoms and distances in Å follow each position.
Space group R3m (No. 160, hexagonal axes)
One atom of each set of equivalent atoms:
Ga  0.0000  0.0000  0.0000 (multiplicity 3)  4 Bi 2.76-2.77
Ga  0.0000  0.0000  0.2462 (multiplicity 3)  4 Bi 2.75-2.79
Ga  0.0000  0.0000  0.4927 (multiplicity 3)  3 As 2.65, 1 Bi 2.81
Ga  0.0000  0.0000  0.7533 (multiplicity 3)  1 As 2.50, 3 Bi 2.76
Bi  0.0000  0.0000  0.0637 (multiplicity 3)  4 Ga 2.76-2.77
Bi  0.0000  0.0000  0.3103 (multiplicity 3)  4 Ga 2.76-2.79
Bi  0.0000  0.0000  0.5573 (multiplicity 3)  4 Ga 2.75-2.81
As  0.0000  0.0000  0.8109 (multiplicity 3)  4 Ga 2.50-2.65


12.
The following is a PBE calculation of a relaxed PtBrCl2 crystal, from the Alexandria database.

* raw formation energy: 0.01 eV/atom
* crystal system: orthorhombic

a = 3.5036 Å, b = 7.2199 Å, c = 9.0996 Å
α = 90.00°, β = 90.00°, γ = 90.00°
Closest atoms and distances in Å follow each position.
Space group Imm2 (No. 44)
One atom of each set of equivalent atoms:
Pt  0.0000  0.0000  0.0000 (multiplicity 2)  2 Cl 2.34, 2 Br 2.42
Br  0.0000  0.5000  0.3167 (multiplicity 2)  2 Pt 2.42
Cl  0.0000  0.0000  0.5189 (multiplicity 2)  2 Br 3.23, 2 Cl 3.50
Cl  0.0000  0.5000  0.6703 (multiplicity 2)  2 Pt 2.34


13.
The following is a PBE calculation of a relaxed BaMnIr2 crystal, from the Alexandria database.

* crystal system: tetragonal
* formation energy: 0.705 eV per atom

a = 4.4760 Å, b = 4.4760 Å, c = 7.8910 Å
α = 90.00°, β = 90.00°, γ = 90.00°
Closest atoms and distances in Å follow each position.
Space group I4/mmm (No. 139)
One atom of each set of equivalent atoms:
Ba  0.0000  0.0000  0.0000 (multiplicity 2)  8 Ir 2.98, 4 Mn 3.17
Mn  0.0000  0.0000  0.5000 (multiplicity 2)  8 Ir 2.98, 4 Ba 3.17
Ir  0.0000  0.5000  0.2500 (multiplicity 4)  4 Ba 2.98, 4 Mn 2.98, 4 Ir 3.17


14.
The following is a PBE calculation of a relaxed Re2B2As crystal, from the Alexandria database.

* crystal system: tetragonal
* formation energy: 0.025 eV per atom

a = 3.0239 Å, b = 3.0239 Å, c = 12.6990 Å
α = 90.00°, β = 90.00°, γ = 90.00°
Closest atoms and distances in Å follow each position.
Space group I4/mmm (No. 139)
One atom of each set of equivalent atoms:
Re  0.0000  0.0000  0.1186 (multiplicity 4)  4 B 2.25
B  0.0000  0.5000  0.2500 (multiplicity 4)  4 B 2.14, 4 Re 2.25
As  0.0000  0.0000  0.5000 (multiplicity 2)  8 Re 2.62


15.
The following is a PBE calculation of a relaxed Tb2HoTm6Sc3 crystal, from the Alexandria database.

* crystal system: monoclinic
* formation energy: 0.044 eV per atom

a = 5.9880 Å, b = 10.3631 Å, c = 11.3839 Å
α = 90.00°, β = 100.07°, γ = 90.00°
Closest atoms and distances in Å follow each position.
Space group C2/m (No. 12)
One atom of each set of equivalent atoms:
Tb  0.0000  0.1667  0.0000 (multiplicity 4)  3 Ho 3.45-3.46, 3 Tb 3.45-3.46, 6 Tm 3.52
Ho  0.0000  0.5000  0.0000 (multiplicity 2)  6 Tb 3.45-3.46, 6 Tm 3.52
Tm  0.2469  0.1666  0.7410 (multiplicity 8)  3 Sc 3.36, 6 Tm 3.45-3.46, 2 Tb 3.52, 1 Ho 3.52
Tm  0.2467  0.5000  0.7410 (multiplicity 4)  3 Sc 3.36, 6 Tm 3.45-3.46, 1 Ho 3.52, 2 Tb 3.52
Sc  0.0000  0.0000  0.5000 (multiplicity 2)  6 Tm 3.36, 6 Sc 3.45-3.46
Sc  0.0000  0.3334  0.5000 (multiplicity 4)  6 Tm 3.36, 6 Sc 3.45-3.46


16.
The following is a PBE calculation of a relaxed Pr6Ni2HgCl3 crystal, from the Alexandria database.

* raw formation energy: -0.88 eV/atom
* crystal system: monoclinic

a = 18.9843 Å, b = 4.0890 Å, c = 8.8926 Å
α = 90.00°, β = 106.00°, γ = 90.00°
Closest atoms and distances in Å follow each position.
Space group C2/m (No. 12)
One atom of each set of equivalent atoms:
Pr  0.0097  0.0000  0.2698 (multiplicity 4)  1 Ni 2.85, 2 Cl 2.93, 2 Hg 3.12
Pr  0.1683  0.5000  0.1189 (multiplicity 4)  2 Ni 2.82, 1 Cl 3.05, 1 Hg 3.08
Pr  0.1763  0.5000  0.5609 (multiplicity 4)  3 Ni 2.83-2.89
Ni  0.1655  0.0000  0.3364 (multiplicity 4)  6 Pr 2.82-2.89
Hg  0.0000  0.5000  0.0000 (multiplicity 2)  6 Pr 3.08-3.12
Cl  0.0000  0.5000  0.5000 (multiplicity 2)  6 Pr 2.93-3.24
Cl  0.1666  0.0000  0.8371 (multiplicity 4)  6 Pr 3.05-3.24


17.
The following is a PBE calculation of a relaxed TaMn2I crystal, from the Alexandria database.

* raw formation energy: 0.93 eV/atom
* crystal system: cubic

a = 6.2767 Å, b = 6.2767 Å, c = 6.2767 Å
α = 90.00°, β = 90.00°, γ = 90.00°
Closest atoms and distances in Å follow each position.
Space group Fm-3m (No. 225)
One atom of each set of equivalent atoms:
Ta  0.0000  0.0000  0.0000 (multiplicity 4)  8 Mn 2.72
Mn  0.2500  0.2500  0.2500 (multiplicity 8)  4 Ta 2.72, 4 I 2.72
I  0.0000  0.0000  0.5000 (multiplicity 4)  8 Mn 2.72


18.
The following is a PBE calculation of a relaxed LuCdAu2 crystal, from the Alexandria database.

* crystal system: tetragonal
* formation energy: -0.543 eV per atom

a = 4.6755 Å, b = 4.6755 Å, c = 3.8349 Å
α = 90.00°, β = 90.00°, γ = 90.00°
Closest atoms and distances in Å follow each position.
Space group P4/mmm (No. 123)
One atom of each set of equivalent atoms:
Lu  0.0000  0.0000  0.0000 (multiplicity 1)  8 Au 3.02, 4 Cd 3.31
Cd  0.5000  0.5000  0.0000 (multiplicity 1)  8 Au 3.02, 4 Lu 3.31
Au  0.0000  0.5000  0.5000 (multiplicity 2)  4 Cd 3.02, 4 Lu 3.02, 4 Au 3.31


19.
The following is a PBE calculation of a relaxed InHg2PF crystal, from the Alexandria database.

* raw formation energy: 0.02 eV/atom
* crystal system: tetragonal

a = 5.6929 Å, b = 5.6929 Å, c = 4.4141 Å
α = 90.00°, β = 90.00°, γ = 90.00°
Closest atoms and distances in Å follow each position.
Space group P4/mmm (No. 123)
One atom of each set of equivalent atoms:
In  0.0000  0.0000  0.0000 (multiplicity 1)  2 F 2.21
Hg  0.0000  0.5000  0.0000 (multiplicity 2)  2 In 2.85
P  0.5000  0.5000  0.5000 (multiplicity 1)  8 Hg 3.60, 4 F 4.03
F  0.0000  0.0000  0.5000 (multiplicity 1)  2 In 2.21


20.
The following is a PBE calculation of a relaxed Mg3CdIn3 crystal, from the Alexandria database.

* crystal system: trigonal
* formation energy: -0.010 eV per atom

a = 8.3680 Å, b = 8.3680 Å, c = 17.1598 Å
α = 90.00°, β = 90.00°, γ = 120.00°
Closest atoms and distances in Å follow each position.
Space group R-3 (No. 148, hexagonal axes)
One atom of each set of equivalent atoms:
Mg  0.0471  0.2428  0.2527 (multiplicity 18)  5 In 3.01-3.23, 2 Cd 3.14-3.18, 3 Mg 3.23-3.30
Cd  0.0000  0.0000  0.4031 (multiplicity 6)  6 Mg 3.14-3.18, 3 In 3.16, 1 Cd 3.33
In  0.0409  0.2416  0.0773 (multiplicity 18)  5 Mg 3.01-3.23, 1 Cd 3.16, 4 In 3.25


| no. | electronic total energy (eV per atom) |
| --- | --- |
| 1 | -3.419 |
| 2 | -3.484 |
| 3 | -5.595 |
| 4 | -4.038 |
| 5 | -4.505 |
| 6 | -3.570 |
| 7 | -5.233 |
| 8 | -1.397 |
| 9 | -4.355 |
| 10 | -2.080 |
| 11 | -3.568 |
| 12 | -2.843 |
| 13 | -6.499 |
| 14 | -8.555 |
| 15 | -4.928 |
| 16 | -4.717 |
| 17 | -7.003 |
| 18 | -3.540 |
| 19 | -2.102 |
| 20 | -1.998 |